(1)
# Tb4CdHg2Pd PBE-GGA relaxed
# Energy relative to the elements (eV per atom): -0.54
# Magnetization (μB/f.u.): 0.00
# Crystal system: trigonal
data_Tb4CdHg2Pd
_chemical_formula_sum 'Tb12 Cd3 Hg6 Pd3'
_space_group_name_H-M_alt 'R -3 m'
_space_group_IT_number 166
_space_group_name_Hall '-R 3 2"'
_cell_length_a 5.2204
_cell_length_b 5.2204
_cell_length_c 25.4161
_cell_angle_alpha 90.00
_cell_angle_beta 90.00
_cell_angle_gamma 120.00
loop_
_atom_site_label
_atom_site_type_symbol
_atom_site_fract_x
_atom_site_fract_y
_atom_site_fract_z
_atom_site_occupancy
Tb1 Tb 0.0000 0.0000 0.1172 1
Tb2 Tb 0.0000 0.0000 0.3696 1
Cd1 Cd 0.0000 0.0000 0.5000 1
Hg1 Hg 0.0000 0.0000 0.2419 1
Pd1 Pd 0.0000 0.0000 0.0000 1

(2)
# La4TmMg PBE-GGA relaxed
# Energy relative to the elements (eV per atom): -0.02
# Magnetization (μB/f.u.): 0.00
# Crystal system: tetragonal
data_La4TmMg
_chemical_formula_sum 'La4 Tm1 Mg1'
_space_group_name_H-M_alt 'P 4/m m m'
_space_group_IT_number 123
_space_group_name_Hall '-P 4 2'
_cell_length_a 3.744
_cell_length_b 3.744
_cell_length_c 14.493
_cell_angle_alpha 90.00
_cell_angle_beta 90.00
_cell_angle_gamma 90.00
loop_
_atom_site_label
_atom_site_type_symbol
_atom_site_fract_x
_atom_site_fract_y
_atom_site_fract_z
_atom_site_occupancy
La1 La 0.000 0.000 0.154 1
La2 La 0.500 0.500 0.331 1
Tm1 Tm 0.000 0.000 0.500 1
Mg1 Mg 0.500 0.500 0.000 1

(3)
# VOsRh2S PBE-GGA relaxed
# ΔE_f (raw) (meV per atom): 675
# Magnetization (μB/f.u.): 0.21
# Crystal system: tetragonal
data_VOsRh2S
_chemical_formula_sum 'V1 Os1 Rh2 S1'
_space_group_name_H-M_alt 'P 4/m m m'
_space_group_IT_number 123
_space_group_name_Hall '-P 4 2'
_cell_length_a 4.342
_cell_length_b 4.342
_cell_length_c 4.319
_cell_angle_alpha 90.00
_cell_angle_beta 90.00
_cell_angle_gamma 90.00
loop_
_atom_site_label
_atom_site_type_symbol
_atom_site_fract_x
_atom_site_fract_y
_atom_site_fract_z
_atom_site_occupancy
V1 V 0.000 0.000 0.000 1
Os1 Os 0.500 0.500 0.000 1
Rh1 Rh 0.000 0.500 0.500 1
S1 S 0.500 0.500 0.500 1

(4)
# BiHIr3 PBE-GGA relaxed
# Magnetization (μB/f.u.): 0.00
# VASP energy (eV/atom): -6.378
# Crystal system: cubic
data_BiHIr3
_chemical_formula_sum 'Bi1 H1 Ir3'
_space_group_name_H-M_alt 'P m -3 m'
_space_group_IT_number 221
_space_group_name_Hall '-P 4 2 3'
_cell_length_a 4.124
_cell_length_b 4.124
_cell_length_c 4.124
_cell_angle_alpha 90.00
_cell_angle_beta 90.00
_cell_angle_gamma 90.00
loop_
_atom_site_label
_atom_site_type_symbol
_atom_site_fract_x
_atom_site_fract_y
_atom_site_fract_z
_atom_site_occupancy
Bi1 Bi 0.000 0.000 0.000 1
H1 H 0.500 0.500 0.500 1
Ir1 Ir 0.000 0.500 0.500 1

(5)
# NaNbO3 PBE-GGA relaxed
# ΔE_f (raw) (meV per atom): -2420
# Magnetization (μB/f.u.): 0.00
# Crystal system: orthorhombic
data_NaNbO3
_chemical_formula_sum 'Na8 Nb8 O24'
_space_group_name_H-M_alt 'P c a 21'
_space_group_IT_number 29
_cell_length_a 5.660
_cell_length_b 5.575
_cell_length_c 15.836
_cell_angle_alpha 90.00
_cell_angle_beta 90.00
_cell_angle_gamma 90.00
loop_
_space_group_symop_operation_xyz
'x,y,z'
'-x,-y,z+1/2'
'-x+1/2,y,z+1/2'
'x+1/2,-y,z'
loop_
_atom_site_label
_atom_site_type_symbol
_atom_site_fract_x
_atom_site_fract_y
_atom_site_fract_z
_atom_site_occupancy
Na1 Na 0.208 0.240 0.000 1
Na2 Na 0.234 0.243 0.749 1
Nb1 Nb 0.225 0.747 0.875 1
Nb2 Nb 0.230 0.741 0.124 1
O1 O 0.027 0.039 0.614 1
O2 O 0.029 0.040 0.399 1
O3 O 0.045 0.461 0.148 1
O4 O 0.048 0.458 0.865 1
O5 O 0.225 0.682 0.506 1
O6 O 0.249 0.816 0.756 1

(6)
# NaTl2NF PBE-GGA relaxed
# ΔE_f (raw) (meV per atom): 302
# Magnetization (μB/f.u.): 1.86
# Crystal system: tetragonal
data_NaTl2NF
_chemical_formula_sum 'Na1 Tl2 N1 F1'
_space_group_name_H-M_alt 'P 4/m m m'
_space_group_IT_number 123
_space_group_name_Hall '-P 4 2'
_cell_length_a 4.990
_cell_length_b 4.990
_cell_length_c 5.452
_cell_angle_alpha 90.00
_cell_angle_beta 90.00
_cell_angle_gamma 90.00
loop_
_atom_site_label
_atom_site_type_symbol
_atom_site_fract_x
_atom_site_fract_y
_atom_site_fract_z
_atom_site_occupancy
Na1 Na 0.000 0.000 0.000 1
Tl1 Tl 0.000 0.500 0.500 1
N1 N 0.500 0.500 0.000 1
F1 F 0.500 0.500 0.500 1

(7)
# CaTcPb2 PBE-GGA relaxed
# Energy relative to the elements (eV per atom): 0.12
# Magnetization (μB/f.u.): 0.00
# Crystal system: tetragonal
data_CaTcPb2
_chemical_formula_sum 'Ca1 Tc1 Pb2'
_space_group_name_H-M_alt 'P 4/m m m'
_space_group_IT_number 123
_space_group_name_Hall '-P 4 2'
_cell_length_a 3.508
_cell_length_b 3.508
_cell_length_c 7.705
_cell_angle_alpha 90.00
_cell_angle_beta 90.00
_cell_angle_gamma 90.00
loop_
_atom_site_label
_atom_site_type_symbol
_atom_site_fract_x
_atom_site_fract_y
_atom_site_fract_z
_atom_site_occupancy
Ca1 Ca 0.000 0.000 0.000 1
Tc1 Tc 0.000 0.000 0.500 1
Pb1 Pb 0.500 0.500 0.294 1

(8)
# KOsPt2Au PBE-GGA relaxed
# Energy relative to the elements (eV per atom): 1.24
# Magnetization (μB/f.u.): 0.00
# Crystal system: tetragonal
data_KOsPt2Au
_chemical_formula_sum 'K1 Os1 Pt2 Au1'
_space_group_name_H-M_alt 'P 4/m m m'
_space_group_IT_number 123
_space_group_name_Hall '-P 4 2'
_cell_length_a 4.793
_cell_length_b 4.793
_cell_length_c 5.976
_cell_angle_alpha 90.00
_cell_angle_beta 90.00
_cell_angle_gamma 90.00
loop_
_atom_site_label
_atom_site_type_symbol
_atom_site_fract_x
_atom_site_fract_y
_atom_site_fract_z
_atom_site_occupancy
K1 K 0.000 0.000 0.000 1
Os1 Os 0.000 0.000 0.500 1
Pt1 Pt 0.000 0.500 0.500 1
Au1 Au 0.500 0.500 0.000 1